# PrMn2ZnO6 PBE with a Hubbard U relaxed
data_PrMn2ZnO6
_cell_length_a 7.7159
_cell_length_b 5.4740
_cell_length_c 5.2893
_cell_angle_alpha 90.00
_cell_angle_beta 90.00
_cell_angle_gamma 90.00
_space_group_name_H-M_alt 'P m n 21'
_space_group_IT_number 31
loop_
_space_group_symop_operation_xyz
'x,y,z'
'-x+1/2,-y,z+1/2'
'-x,y,z'
'x+1/2,-y,z+1/2'
loop_
_atom_site_label
_atom_site_type_symbol
_atom_site_fract_x
_atom_site_fract_y
_atom_site_fract_z
_atom_site_occupancy
Pr1 Pr 0.0000 0.2076 0.0000 1
Mn1 Mn 0.2495 0.7451 0.9868 1
Zn1 Zn 0.0000 0.7038 0.4635 1
O1 O 0.0000 0.2908 0.5688 1
O2 O 0.0000 0.7690 0.8533 1
O3 O 0.1908 0.4809 0.2168 1
O4 O 0.1920 0.9509 0.2897 1
# Final energy   -6.956 eV/atom